No. 1
Crystalline Mg3CdH at its relaxed geometry, computed with GGA-PBE.

```
Mg3CdH
1.0
-4.173 -0.487 1.478
1.534 -2.002 3.671
0.263 3.948 2.044
H Mg Cd
1 3 1
Direct
0.000 0.000 0.000
0.000 0.500 0.000
0.000 0.000 0.500
0.500 0.000 0.000
0.500 0.500 0.500
```

Summary:
- Uncorrected energy: -1.763 eV/atom

No. 2
Crystalline Mg4Cd2H at its relaxed geometry, computed with GGA-PBE.

```
Mg4Cd2H
1.0
4.255 0.000 0.000
0.000 4.255 0.000
2.128 2.128 7.694
H Mg Cd
1 4 2
Direct
0.000 0.000 0.000
0.826 0.826 0.347
0.174 0.174 0.653
0.000 0.500 0.000
0.500 0.000 0.000
0.639 0.639 0.721
0.361 0.361 0.279
```

Summary:
- Uncorrected energy: -1.649 eV/atom

No. 3
Crystalline Mg12Cd3H5 at its relaxed geometry, computed with GGA-PBE.

```
Mg12Cd3H5
1.0
-2.109 7.277 9.720
1.613 -11.603 3.828
10.131 3.832 -5.880
Cd H Mg
12 20 48
Direct
0.750 0.375 0.125
0.875 0.750 0.125
0.375 0.750 0.625
0.250 0.125 0.375
0.875 0.125 0.250
0.375 0.625 0.250
0.625 0.375 0.750
0.125 0.875 0.750
0.750 0.875 0.625
0.625 0.250 0.375
0.125 0.250 0.875
0.250 0.625 0.875
0.125 0.375 0.250
0.000 0.500 0.000
0.000 0.000 0.000
0.375 0.250 0.125
0.500 0.000 0.500
0.500 0.500 0.000
0.125 0.750 0.375
0.750 0.125 0.875
0.750 0.625 0.375
0.375 0.125 0.750
0.625 0.875 0.250
0.500 0.500 0.500
0.500 0.000 0.000
0.000 0.000 0.500
0.250 0.375 0.625
0.250 0.875 0.125
0.000 0.500 0.500
0.875 0.250 0.625
0.625 0.750 0.875
0.875 0.625 0.750
0.699 0.105 0.008
0.310 0.508 0.403
0.992 0.395 0.301
0.508 0.199 0.105
0.594 0.699 0.690
0.992 0.597 0.190
0.310 0.801 0.406
0.097 0.906 0.105
0.597 0.992 0.690
0.699 0.594 0.190
0.801 0.492 0.395
0.810 0.903 0.008
0.105 0.699 0.508
0.395 0.403 0.094
0.094 0.903 0.395
0.406 0.105 0.597
0.094 0.190 0.199
0.492 0.690 0.097
0.810 0.906 0.301
0.105 0.406 0.097
0.395 0.992 0.801
0.597 0.605 0.406
0.903 0.810 0.508
0.801 0.310 0.906
0.403 0.395 0.594
0.097 0.190 0.492
0.199 0.690 0.094
0.190 0.094 0.699
0.605 0.008 0.199
0.895 0.594 0.903
0.508 0.310 0.903
0.594 0.895 0.403
0.906 0.810 0.801
0.906 0.097 0.605
0.895 0.301 0.492
0.190 0.097 0.992
0.605 0.597 0.906
0.403 0.008 0.310
0.301 0.406 0.810
0.199 0.508 0.605
0.903 0.094 0.895
0.690 0.199 0.594
0.492 0.801 0.895
0.008 0.403 0.810
0.406 0.301 0.310
0.008 0.605 0.699
0.690 0.492 0.597
0.301 0.895 0.992
```

Summary:
- Uncorrected energy: -1.884 eV/atom

No. 4
Crystalline Mg3Cd5H12 at its relaxed geometry, computed with GGA-PBE.

```
Mg3Cd5H12
1.0
-6.486 4.521 -7.238
-1.088 -10.657 -0.390
-2.587 3.500 9.796
Mg Cd H
12 20 48
Direct
0.750 0.375 0.125
0.875 0.750 0.125
0.375 0.750 0.625
0.250 0.125 0.375
0.875 0.125 0.250
0.375 0.625 0.250
0.625 0.375 0.750
0.125 0.875 0.750
0.750 0.875 0.625
0.625 0.250 0.375
0.125 0.250 0.875
0.250 0.625 0.875
0.125 0.375 0.250
0.000 0.500 0.000
0.000 0.000 0.000
0.375 0.250 0.125
0.500 0.000 0.500
0.500 0.500 0.000
0.125 0.750 0.375
0.750 0.125 0.875
0.750 0.625 0.375
0.375 0.125 0.750
0.625 0.875 0.250
0.500 0.500 0.500
0.500 0.000 0.000
0.000 0.000 0.500
0.250 0.375 0.625
0.250 0.875 0.125
0.000 0.500 0.500
0.875 0.250 0.625
0.625 0.750 0.875
0.875 0.625 0.750
0.732 0.130 0.053
0.321 0.553 0.424
0.947 0.370 0.268
0.553 0.232 0.130
0.603 0.732 0.679
0.947 0.576 0.179
0.321 0.768 0.397
0.076 0.897 0.130
0.576 0.947 0.679
0.732 0.603 0.179
0.768 0.447 0.370
0.821 0.924 0.053
0.130 0.732 0.553
0.370 0.424 0.103
0.103 0.924 0.370
0.397 0.130 0.576
0.103 0.179 0.232
0.447 0.679 0.076
0.821 0.897 0.268
0.130 0.397 0.076
0.370 0.947 0.768
0.576 0.630 0.397
0.924 0.821 0.553
0.768 0.321 0.897
0.424 0.370 0.603
0.076 0.179 0.447
0.232 0.679 0.103
0.179 0.103 0.732
0.630 0.053 0.232
0.870 0.603 0.924
0.553 0.321 0.924
0.603 0.870 0.424
0.897 0.821 0.768
0.897 0.076 0.630
0.870 0.268 0.447
0.179 0.076 0.947
0.630 0.576 0.897
0.424 0.053 0.321
0.268 0.397 0.821
0.232 0.553 0.630
0.924 0.103 0.870
0.679 0.232 0.603
0.447 0.768 0.870
0.053 0.424 0.821
0.397 0.268 0.321
0.053 0.630 0.732
0.679 0.447 0.576
0.268 0.870 0.947
```

Summary:
- Uncorrected energy: -2.177 eV/atom

No. 5
Crystalline Mg5Cd3H12 at its relaxed geometry, computed with GGA-PBE.

```
Mg5Cd3H12
1.0
-3.431 3.799 9.591
-3.025 -10.387 -1.076
10.838 0.689 -0.503
Cd Mg H
12 20 48
Direct
0.750 0.375 0.125
0.875 0.750 0.125
0.375 0.750 0.625
0.250 0.125 0.375
0.875 0.125 0.250
0.375 0.625 0.250
0.625 0.375 0.750
0.125 0.875 0.750
0.750 0.875 0.625
0.625 0.250 0.375
0.125 0.250 0.875
0.250 0.625 0.875
0.125 0.375 0.250
0.000 0.500 0.000
0.000 0.000 0.000
0.375 0.250 0.125
0.500 0.000 0.500
0.500 0.500 0.000
0.125 0.750 0.375
0.750 0.125 0.875
0.750 0.625 0.375
0.375 0.125 0.750
0.625 0.875 0.250
0.500 0.500 0.500
0.500 0.000 0.000
0.000 0.000 0.500
0.250 0.375 0.625
0.250 0.875 0.125
0.000 0.500 0.500
0.875 0.250 0.625
0.625 0.750 0.875
0.875 0.625 0.750
0.698 0.105 0.018
0.320 0.518 0.413
0.982 0.395 0.302
0.518 0.198 0.105
0.593 0.698 0.680
0.982 0.587 0.180
0.320 0.802 0.407
0.087 0.907 0.105
0.587 0.982 0.680
0.698 0.593 0.180
0.802 0.482 0.395
0.820 0.913 0.018
0.105 0.698 0.518
0.395 0.413 0.093
0.093 0.913 0.395
0.407 0.105 0.587
0.093 0.180 0.198
0.482 0.680 0.087
0.820 0.907 0.302
0.105 0.407 0.087
0.395 0.982 0.802
0.587 0.605 0.407
0.913 0.820 0.518
0.802 0.320 0.907
0.413 0.395 0.593
0.087 0.180 0.482
0.198 0.680 0.093
0.180 0.093 0.698
0.605 0.018 0.198
0.895 0.593 0.913
0.518 0.320 0.913
0.593 0.895 0.413
0.907 0.820 0.802
0.907 0.087 0.605
0.895 0.302 0.482
0.180 0.087 0.982
0.605 0.587 0.907
0.413 0.018 0.320
0.302 0.407 0.820
0.198 0.518 0.605
0.913 0.093 0.895
0.680 0.198 0.593
0.482 0.802 0.895
0.018 0.413 0.820
0.407 0.302 0.320
0.018 0.605 0.698
0.680 0.482 0.587
0.302 0.895 0.982
```

Summary:
- Uncorrected energy: -2.410 eV/atom

No. 6
Crystalline Mg2CdH2 at its relaxed geometry, computed with GGA-PBE.

```
Mg2CdH2
1.0
3.234 0.000 0.000
0.000 3.234 0.000
1.617 1.617 6.741
H Mg Cd
2 2 1
Direct
0.750 0.250 0.500
0.250 0.750 0.500
0.337 0.337 0.325
0.663 0.663 0.675
0.000 0.000 0.000
```

Summary:
- Uncorrected energy: -2.248 eV/atom

No. 7
Crystalline MgCdH at its relaxed geometry, computed with GGA-PBE.

```
MgCdH
1.0
3.071 0.002 -0.187
1.542 2.663 0.021
-0.138 0.511 14.989
H Mg Cd
2 2 2
Direct
0.029 0.993 0.525
0.971 0.007 0.475
0.715 0.126 0.090
0.285 0.874 0.910
0.145 0.387 0.267
0.855 0.613 0.733
```

Summary:
- Uncorrected energy: -1.924 eV/atom

No. 8
Crystalline MgCd2H at its relaxed geometry, computed with GGA-PBE.

```
MgCd2H
1.0
0.000 3.382 3.382
3.382 0.000 3.382
3.382 3.382 0.000
H Mg Cd
1 1 2
Direct
0.000 0.000 0.000
0.500 0.500 0.500
0.250 0.250 0.250
0.750 0.750 0.750
```

Summary:
- Uncorrected energy: -1.240 eV/atom

No. 9
Crystalline Mg2CdH at its relaxed geometry, computed with GGA-PBE.

```
Mg2CdH
1.0
3.344 0.000 0.000
1.672 2.896 0.000
1.672 0.965 7.007
H Mg Cd
1 2 1
Direct
0.000 0.000 0.000
0.274 0.274 0.177
0.726 0.726 0.823
0.500 0.500 0.500
```

Summary:
- Uncorrected energy: -1.849 eV/atom

No. 10
Crystalline Mg2CdH2 at its relaxed geometry, computed with GGA-PBE.

```
Mg2CdH2
1.0
7.023 0.000 0.000
0.000 7.023 0.000
0.000 0.000 2.907
H Mg Cd
4 4 2
Direct
0.391 0.891 0.000
0.891 0.609 0.000
0.609 0.109 0.000
0.109 0.391 0.000
0.145 0.645 0.500
0.645 0.855 0.500
0.855 0.355 0.500
0.355 0.145 0.500
0.000 0.000 0.000
0.500 0.500 0.000
```

Summary:
- Uncorrected energy: -1.901 eV/atom

No. 11
Crystalline Mg2MnCdH at its relaxed geometry, computed with GGA-PBE.

```
Mg2MnCdH
1.0
4.578 0.000 0.000
0.000 4.578 0.000
0.000 0.000 3.635
H Mg Mn Cd
1 2 1 1
Direct
0.000 0.000 0.000
0.000 0.500 0.000
0.500 0.000 0.000
0.000 0.000 0.500
0.500 0.500 0.500
```

Summary:
- Uncorrected energy: -3.277 eV/atom

No. 12
Crystalline Na2MgCdH6 at its relaxed geometry, computed with GGA-PBE.

```
Na2MgCdH6
1.0
-1.478 3.897 -1.792
-4.983 -1.589 0.655
-0.065 2.181 4.798
Na Mg Cd H
2 1 1 6
Direct
0.038 0.500 0.000
0.038 0.000 0.500
0.608 0.500 0.500
0.570 0.000 0.000
0.709 0.251 0.251
0.709 0.251 0.749
0.185 0.500 0.500
0.172 0.000 0.000
0.709 0.749 0.749
0.709 0.749 0.251
```

Summary:
- Uncorrected energy: -2.586 eV/atom